Computed, not measured: Pa2Co2Ge3 after structural relaxation at the PBE level of DFT.

It has space group Cmcm (No. 63), with a = 4.1905 Å, b = 17.7930 Å, c = 6.6194 Å, α = 90.00°, β = 90.00° and γ = 90.00°. The inequivalent atoms are Pa at (0.0000, 0.0482, 0.2500), Pa at (0.0000, 0.1647, 0.7500), Co at (0.0000, 0.3003, 0.5486), Ge at (0.0000, 0.2146, 0.2500) and Ge at (0.0000, 0.4313, 0.0546).

The formation enthalpy at 0 K is -0.52 eV/atom. The theoretical density comes out at 10.7 Mg/m³. The total magnetization comes out at 0.0 μB/cell. The offset from the most stable computed form is 0.0 kJ per mole of atoms. Its total energy is -50.67 eV/f.u. The value obtained for the density of states at the Fermi level is 22.9 states/eV/cell.